[1]
# CdGa (PBE, optimized geometry)
data_CdGa
_chemical_formula_sum 'Cd16 Ga16'
_space_group_name_H-M_alt 'F d d d'
_space_group_IT_number 70
_cell_length_a 4.859
_cell_length_b 9.628
_cell_length_c 15.276
_cell_angle_alpha 90.00
_cell_angle_beta 90.00
_cell_angle_gamma 90.00
loop_
_space_group_symop_operation_xyz
'x,y,z'
'-x,-y,-z'
'-x+1/4,-y+1/4,z'
'x+1/4,y+1/4,-z'
'x,-y+1/4,-z+1/4'
'-x,y+1/4,z+1/4'
'-x+1/4,y,-z+1/4'
'x+1/4,-y,z+1/4'
'x,y+1/2,z+1/2'
'-x,-y+1/2,-z+1/2'
'-x+1/4,-y+3/4,z+1/2'
'x+1/4,y+3/4,-z+1/2'
'x,-y+3/4,-z+3/4'
'-x,y+3/4,z+3/4'
'-x+1/4,y+1/2,-z+3/4'
'x+1/4,-y+1/2,z+3/4'
'x+1/2,y,z+1/2'
'-x+1/2,-y,-z+1/2'
'-x+3/4,-y+1/4,z+1/2'
'x+3/4,y+1/4,-z+1/2'
'x+1/2,-y+1/4,-z+3/4'
'-x+1/2,y+1/4,z+3/4'
'-x+3/4,y,-z+3/4'
'x+3/4,-y,z+3/4'
'x+1/2,y+1/2,z'
'-x+1/2,-y+1/2,-z'
'-x+3/4,-y+3/4,z'
'x+3/4,y+3/4,-z'
'x+1/2,-y+3/4,-z+1/4'
'-x+1/2,y+3/4,z+1/4'
'-x+3/4,y+1/2,-z+1/4'
'x+3/4,-y+1/2,z+1/4'
loop_
_atom_site_label
_atom_site_type_symbol
_atom_site_fract_x
_atom_site_fract_y
_atom_site_fract_z
Cd1 Cd 0.125 0.280 0.125
Ga1 Ga 0.125 0.125 0.538
# D(E_F)	14.12	states/eV per cell
# E	-59.675	eV per cell
# formation energy	0.106	eV per atom

[2]
# CdGa2 (PBE, optimized geometry)
data_CdGa2
_chemical_formula_sum 'Cd2 Ga4'
_space_group_name_H-M_alt 'I 4/m m m'
_space_group_IT_number 139
_space_group_name_Hall '-I 4 2'
_cell_length_a 3.215
_cell_length_b 3.215
_cell_length_c 11.889
_cell_angle_alpha 90.00
_cell_angle_beta 90.00
_cell_angle_gamma 90.00
loop_
_atom_site_label
_atom_site_type_symbol
_atom_site_fract_x
_atom_site_fract_y
_atom_site_fract_z
Cd1 Cd 0.000 0.000 0.000
Ga1 Ga 0.000 0.000 0.325
# D(E_F)	3.15	states/eV per cell
# E	-13.566	eV per cell
# formation energy	0.062	eV per atom

[3]
# Cd2Ga7 (PBE, optimized geometry)
data_Cd2Ga7
_chemical_formula_sum 'Cd2 Ga7'
_space_group_name_H-M_alt 'P -3 1 m'
_space_group_IT_number 162
_space_group_name_Hall '-P 3 2'
_cell_length_a 5.7120
_cell_length_b 5.7120
_cell_length_c 6.4997
_cell_angle_alpha 90.00
_cell_angle_beta 90.00
_cell_angle_gamma 120.00
loop_
_atom_site_label
_atom_site_type_symbol
_atom_site_fract_x
_atom_site_fract_y
_atom_site_fract_z
Cd1 Cd 0.3333 0.6667 0.0000
Ga1 Ga 0.0000 0.0000 0.0000
Ga2 Ga 0.0000 0.3276 0.6557
# D(E_F)	4.19	states/eV per cell
# E	-22.620	eV per cell
# formation energy	0.044	eV per atom

[4]
# Cd8Ga3 (PBE, optimized geometry)
data_Cd8Ga3
_chemical_formula_sum 'Cd24 Ga9'
_space_group_name_H-M_alt 'R -3 m'
_space_group_IT_number 166
_space_group_name_Hall '-R 3 2"'
_cell_length_a 9.0408
_cell_length_b 9.0408
_cell_length_c 11.2013
_cell_angle_alpha 90.00
_cell_angle_beta 90.00
_cell_angle_gamma 120.00
loop_
_atom_site_label
_atom_site_type_symbol
_atom_site_fract_x
_atom_site_fract_y
_atom_site_fract_z
Cd1 Cd 0.0000 0.0000 0.2393
Cd2 Cd 0.0197 0.5098 0.7469
Ga1 Ga 0.0000 0.5000 0.0000
# D(E_F)	11.81	states/eV per cell
# E	-46.688	eV per cell
# formation energy	0.076	eV per atom

[5]
# CdGa (PBE, optimized geometry)
data_CdGa
_chemical_formula_sum 'Cd8 Ga8'
_space_group_name_H-M_alt 'P 21 21 21'
_space_group_IT_number 19
_space_group_name_Hall 'P 2ac 2ab'
_cell_length_a 5.346
_cell_length_b 5.614
_cell_length_c 11.387
_cell_angle_alpha 90.00
_cell_angle_beta 90.00
_cell_angle_gamma 90.00
loop_
_atom_site_label
_atom_site_type_symbol
_atom_site_fract_x
_atom_site_fract_y
_atom_site_fract_z
Cd1 Cd 0.128 0.103 0.192
Cd2 Cd 0.134 0.308 0.935
Ga1 Ga 0.123 0.389 0.673
Ga2 Ga 0.137 0.202 0.445
# D(E_F)	6.61	states/eV per cell
# E	-30.584	eV per cell
# formation energy	0.059	eV per atom

[6]
# CdGa (PBE, optimized geometry)
data_CdGa
_chemical_formula_sum 'Cd1 Ga1'
_space_group_name_H-M_alt 'P m -3 m'
_space_group_IT_number 221
_space_group_name_Hall '-P 4 2 3'
_cell_length_a 3.498
_cell_length_b 3.498
_cell_length_c 3.498
_cell_angle_alpha 90.00
_cell_angle_beta 90.00
_cell_angle_gamma 90.00
loop_
_atom_site_label
_atom_site_type_symbol
_atom_site_fract_x
_atom_site_fract_y
_atom_site_fract_z
Cd1 Cd 0.000 0.000 0.000
Ga1 Ga 0.500 0.500 0.500
# D(E_F)	1.77	states/eV per cell
# E	-3.737	eV per cell
# formation energy	0.103	eV per atom